Entry 1:
Compound: HgTe2Cl
Source: the Alexandria database
Functional: PBE
Structure: relaxed

abc: 3.4270 3.4270 31.9560
angles: 90.00 90.00 120.00
Closest atoms and distances in Å follow each position.
Element x y z (fractional)
Hg (0.0000, 0.0000, 0.0000)  2 Te 2.81
Hg (0.3333, 0.6667, 0.6667)  2 Te 2.81
Hg (0.6667, 0.3333, 0.3333)  2 Te 2.81
Te (0.0000, 0.0000, 0.0881)  1 Hg 2.81
Te (0.0000, 0.0000, 0.9119)  1 Hg 2.81
Te (0.3333, 0.6667, 0.5786)  1 Hg 2.81
Te (0.3333, 0.6667, 0.7547)  1 Hg 2.81
Te (0.6667, 0.3333, 0.2453)  1 Hg 2.81
Te (0.6667, 0.3333, 0.4214)  1 Hg 2.81
Cl (0.0000, 0.0000, 0.5000)  6 Te 3.20, 6 Cl 3.43
Cl (0.3333, 0.6667, 0.1667)  6 Te 3.20, 6 Cl 3.43
Cl (0.6667, 0.3333, 0.8333)  6 Te 3.20, 6 Cl 3.43

The space-group type is No. 166. As for the magnetic moment: 0.0 Bohr magnetons per cell. The value obtained for the volume is 27.08 Å³ per atom. For the excess energy over the best structure of this formula in the dataset, the calculation gives 214 meV per atom. As for the density of states at the Fermi level: 5.604 states/eV per cell. As for the formation energy without anion corrections: 0.08 eV/atom. The value obtained for the uncorrected energy is -24.39 eV for the cell shown.


Entry 2:
Compound: HgTeCl
Source: the Alexandria database
Functional: PBE
Structure: relaxed

abc: 3.4263 4.2807 13.3126
angles: 89.98 89.95 89.98
Closest atoms and distances in Å follow each position.
Element x y z (fractional)
Hg (0.0000, 0.0000, 0.0000)  2 Cl 2.60-2.61, 2 Te 2.76-2.88
Hg (0.0007, 0.0976, 0.4998)  2 Cl 2.61, 2 Te 2.76-2.88
Te (0.0009, 0.5182, 0.1380)  2 Hg 2.76-2.88
Te (0.0011, 0.5779, 0.6378)  2 Hg 2.76-2.88
Cl (0.5013, 0.0744, 0.8544)  2 Hg 2.60-2.61
Cl (0.5017, 0.0189, 0.3544)  2 Hg 2.61

The space-group type is No. 1. As for the magnetic moment: 0.0 Bohr magnetons per cell. The value obtained for the volume is 32.54 Å³ per atom. For the excess energy over the best structure of this formula in the dataset, the calculation gives 154 meV per atom. As for the density of states at the Fermi level: 4.176 states/eV per cell. As for the formation energy without anion corrections: -0.23 eV/atom. The value obtained for the uncorrected energy is -11.93 eV for the cell shown.


Entry 3:
Compound: Hg2TeCl
Source: the Alexandria database
Functional: PBE
Structure: relaxed

abc: 3.9780 5.7949 9.4220
angles: 90.00 90.00 90.00
Closest atoms and distances in Å follow each position.
Element x y z (fractional)
Hg (0.0000, 0.0000, 0.0000)  2 Cl 2.68, 2 Hg 2.97
Hg (0.0000, 0.5000, 0.2339)  2 Hg 2.97, 2 Te 3.06
Hg (0.5000, 0.0000, 0.2339)  2 Hg 2.97, 2 Te 3.06
Hg (0.5000, 0.5000, 0.0000)  2 Cl 2.68, 2 Hg 2.97
Te (0.0000, 0.0000, 0.4812)  2 Hg 3.06
Te (0.5000, 0.5000, 0.4812)  2 Hg 3.06
Cl (0.0000, 0.5000, 0.8088)  2 Hg 2.68
Cl (0.5000, 0.0000, 0.8088)  2 Hg 2.68

The space-group type is No. 35. As for the magnetic moment: 0.0 Bohr magnetons per cell. The value obtained for the volume is 27.15 Å³ per atom. For the excess energy over the best structure of this formula in the dataset, the calculation gives 247 meV per atom. As for the density of states at the Fermi level: 3.769 states/eV per cell. As for the formation energy without anion corrections: -0.02 eV/atom. The value obtained for the uncorrected energy is -11.32 eV for the cell shown.